Entry 1:
VASP calculation (PBE) on a relaxed Sr2LiRe crystal.

Cell: 6.668 6.668 6.668 Å, 149.33 131.59 58.40°
Atoms (fractional coordinates):
Li (0.446, 0.446, 0.000)
Sr (0.039, 0.039, 0.000)
Sr (0.742, 0.242, 0.500)
Re (0.273, 0.773, 0.500)

## Properties
Magnetic moment: 1.48 Bohr magnetons per cell
Relative energy among the computed polymorphs: 54 meV/atom
E_tot: -3.601 eV/atom
Formation energy: 831 meV/atom


Entry 2:
VASP calculation (PBE) on a relaxed HoSc3Ni crystal.

Cell: 6.963 6.963 6.963 Å, 92.97 120.70 115.95°
Atoms (fractional coordinates):
Ni (0.032, 0.532, 0.001)
Ni (0.531, 0.032, 0.999)
Sc (0.531, 0.767, 0.735)
Sc (0.531, 0.296, 0.264)
Sc (0.027, 0.781, 0.746)
Sc (0.032, 0.796, 0.265)
Sc (0.036, 0.281, 0.254)
Sc (0.032, 0.267, 0.736)
Ho (0.548, 0.782, 0.266)
Ho (0.516, 0.282, 0.734)

## Properties
Magnetic moment: 0.00 Bohr magnetons per cell
Relative energy among the computed polymorphs: 33 meV/atom
E_tot: -5.915 eV/atom
Formation energy: -44 meV/atom


Entry 3:
VASP calculation (PBE) on a relaxed KTc2AuSe crystal.

Cell: 5.127 5.800 5.127 Å, 90.00 90.00 90.00°
Atoms (fractional coordinates):
Au (0.000, 0.000, 0.000)
Tc (0.000, 0.000, 0.500)
Tc (0.500, 0.000, 0.000)
K (0.000, 0.500, 0.000)
Se (0.500, 0.500, 0.500)

## Properties
Magnetic moment: 7.77 Bohr magnetons per cell
E_tot: -4.285 eV/atom
ΔE_f (raw): 1.43 eV per atom


The highest E_tot belongs to which entry? Sr2LiRe